A geometry-optimized CaTaC structure. Source: Alexandria via LeMat-Bulk, functional PBE.

## Properties
Space-group type: P4/mmm
V (A^3/atom): 17.3
Energy (eV/atom): -7.796
Fermi-level density of states (states/eV per cell): 1.86

```
CaTaC
1.0
3.1124 0.0000 0.0000
0.0000 3.1124 0.0000
0.0000 0.0000 5.3433
Ca Ta C
1 1 1
Direct
0.0000 0.0000 0.0000
0.5000 0.5000 0.5000
0.0000 0.0000 0.5000
```